# 1
# Zn3Ir2

Crystalline Zn3Ir2 at its relaxed geometry (GGA-PBEsol, the Alexandria database). Values from VASP.

**Energy of formation**: -0.0958 eV per atom
**Space-group type**: R-3m (166)
**DOS at the Fermi energy**: 2.88 states/eV/f.u.

Cell and atoms, written as Quantum ESPRESSO input:
```
&SYSTEM
  ibrav = 0, nat = 5, ntyp = 2
/
ATOMIC_SPECIES
Zn 65.41 Zn.upf
Ir 192.22 Ir.upf
CELL_PARAMETERS angstrom
1.3799 0.7967 10.4944
-1.3799 0.7967 10.4944
0.0000 -1.5934 10.4944
ATOMIC_POSITIONS angstrom
Zn 0.0000 0.0000 0.0000
Zn 0.0000 0.0000 6.3282
Zn 0.0000 0.0000 25.1550
Ir 0.0000 0.0000 12.5703
Ir 0.0000 0.0000 18.9130
```

# 2
# Zn3Ir

Crystalline Zn3Ir at its relaxed geometry (GGA-PBEsol, the Alexandria database). Values from VASP.

**Energy of formation**: -0.1589 eV per atom
**Space-group type**: Cmmm (65)
**DOS at the Fermi energy**: 1.47 states/eV/f.u.

Cell and atoms, written as Quantum ESPRESSO input:
```
&SYSTEM
  ibrav = 0, nat = 4, ntyp = 2
/
ATOMIC_SPECIES
Zn 65.41 Zn.upf
Ir 192.22 Ir.upf
CELL_PARAMETERS angstrom
2.6374 -3.5540 0.0000
2.6374 3.5540 0.0000
0.0000 0.0000 2.9061
ATOMIC_POSITIONS angstrom
Zn 0.0000 0.0000 0.0000
Zn 1.3187 1.7770 1.4530
Zn 1.3187 -1.7770 1.4530
Ir 2.6374 0.0000 0.0000
```